one | The following is a meta-GGA SCAN calculation of a crystal of Li2FeRe relaxed with PBEsol, from the Alexandria database.

**Space group**: Cm, No. 8
**Theoretical density**: 8.103 Mg/m³

Cell lengths 2.4739, 4.3548, 5.0876 Å; angles 93.48, 90.00, 106.50 degrees
With the nearest neighbours (Å) after each atom.
Fractional positions:
Li: 0.7506 0.5012 0.2312  5 Li 2.37-2.64
Li: 0.9950 0.9899 0.0176  5 Li 2.37-2.64
Re: 0.5018 0.0035 0.5400  3 Fe 2.31-2.54, 2 Re 2.47
Fe: 0.2527 0.5053 0.7112  3 Re 2.31-2.54, 2 Fe 2.47

=====

two | The following is a meta-GGA SCAN calculation of a crystal of Li2FeRe relaxed with PBEsol, from the Alexandria database.

**Space group**: R-3m, No. 166
**Theoretical density**: 7.865 Mg/m³

Cell lengths 2.5942, 2.5942, 9.3914 Å; angles 82.06, 82.06, 60.00 degrees
With the nearest neighbours (Å) after each atom.
Fractional positions:
Re: 0.5000 0.5000 0.5000  6 Re 2.59, 6 Li 2.78
Li: 0.2509 0.2509 0.2474  6 Li 2.59, 3 Fe 2.74, 3 Re 2.78
Li: 0.7491 0.7491 0.7526  6 Li 2.59, 3 Fe 2.74, 3 Re 2.78
Fe: 0.0000 0.0000 0.0000  6 Fe 2.59, 6 Li 2.74

=====

Most stable structure, least stable structure: two, one.

=====

one | The following is a meta-GGA SCAN calculation of a crystal of LiFeRh2 relaxed with PBEsol, from the Alexandria database.

**Space group**: P4mm, No. 99
**Theoretical density**: 8.945 Mg/m³

Cell lengths 3.0289, 3.0289, 5.4351 Å; angles 90.00, 90.00, 90.00 degrees
With the nearest neighbours (Å) after each atom.
Fractional positions:
Li: 0.5000 0.5000 0.7517  5 Rh 2.44-2.59, 4 Fe 2.52
Fe: 0.0000 0.0000 0.5064  5 Rh 2.48-2.50, 4 Li 2.52
Rh: 0.0000 0.0000 0.9671  4 Li 2.44, 1 Fe 2.50, 4 Rh 2.72
Rh: 0.5000 0.5000 0.2748  4 Fe 2.48, 1 Li 2.59, 4 Rh 2.72

=====

two | The following is a meta-GGA SCAN calculation of a crystal of LiFeRh2 relaxed with PBEsol, from the Alexandria database.

**Space group**: P4/mmm, No. 123
**Theoretical density**: 9.166 Mg/m³

Cell lengths 2.9741, 4.0448, 4.0448 Å; angles 90.00, 90.00, 90.00 degrees
With the nearest neighbours (Å) after each atom.
Fractional positions:
Fe: 0.5000 0.5000 0.5000  8 Rh 2.51
Li: 0.5000 0.0000 0.0000  8 Rh 2.51
Rh: 0.0000 0.0000 0.5000  4 Fe 2.51, 4 Li 2.51
Rh: 0.0000 0.5000 0.0000  4 Fe 2.51, 4 Li 2.51

=====

Most stable structure, least stable structure: two, one.

=====

one | The following is a meta-GGA SCAN calculation of a crystal of LiFeRh2 relaxed with PBEsol, from the Alexandria database.

**Space group**: R-3m, No. 166
**Theoretical density**: 8.609 Mg/m³

Cell lengths 2.6518, 2.6518, 8.6435 Å; angles 81.18, 81.18, 60.00 degrees
With the nearest neighbours (Å) after each atom.
Fractional positions:
Fe: 0.5000 0.5000 0.5000  6 Rh 2.56, 6 Fe 2.65
Rh: 0.7528 0.7528 0.7416  3 Fe 2.56, 6 Rh 2.65, 3 Li 2.68
Rh: 0.2472 0.2472 0.2584  3 Fe 2.56, 6 Rh 2.65, 3 Li 2.68
Li: 0.0000 0.0000 0.0000  6 Li 2.65, 6 Rh 2.68

=====

two | The following is a meta-GGA SCAN calculation of a crystal of LiFeRh2 relaxed with PBEsol, from the Alexandria database.

**Space group**: Fm-3m, No. 225
**Theoretical density**: 9.152 Mg/m³

Cell lengths 4.1001, 4.1001, 4.1001 Å; angles 60.00, 60.00, 60.00 degrees
With the nearest neighbours (Å) after each atom.
Fractional positions:
Rh: 0.2500 0.2500 0.2500  4 Fe 2.51, 4 Li 2.51
Rh: 0.7500 0.7500 0.7500  4 Fe 2.51, 4 Li 2.51
Fe: 0.5000 0.5000 0.5000  8 Rh 2.51
Li: 0.0000 0.0000 0.0000  8 Rh 2.51

=====

Most stable structure, least stable structure: two, one.

=====

one | The following is a meta-GGA SCAN calculation of a crystal of LiFeRu2 relaxed with PBEsol, from the Alexandria database.

**Space group**: P4/mmm, No. 123
**Theoretical density**: 9.310 Mg/m³

Cell lengths 2.8990, 2.8990, 5.6222 Å; angles 90.00, 90.00, 90.00 degrees
With the nearest neighbours (Å) after each atom.
Fractional positions:
Fe: 0.5000 0.5000 0.0000  8 Ru 2.50
Li: 0.5000 0.5000 0.5000  8 Ru 2.47
Ru: 0.0000 0.0000 0.2544  4 Li 2.47, 4 Fe 2.50, 1 Ru 2.76
Ru: 0.0000 0.0000 0.7456  4 Li 2.47, 4 Fe 2.50, 1 Ru 2.76

=====

two | The following is a meta-GGA SCAN calculation of a crystal of LiFeRu2 relaxed with PBEsol, from the Alexandria database.

**Space group**: Cm, No. 8
**Theoretical density**: 8.845 Mg/m³

Cell lengths 2.5838, 4.4790, 4.5338 Å; angles 98.16, 106.56, 90.00 degrees
With the nearest neighbours (Å) after each atom.
Fractional positions:
Fe: 0.5059 0.4807 0.0117  3 Li 2.46-2.61, 7 Ru 2.58-2.75, 2 Fe 2.58
Ru: 0.9942 0.9789 0.9884  5 Ru 2.52-2.58, 4 Fe 2.58-2.59, 3 Li 2.64-2.74
Ru: 0.2481 0.7702 0.4962  5 Ru 2.52-2.58, 4 Li 2.58-2.59, 3 Fe 2.64-2.75
Li: 0.7518 0.2702 0.5037  3 Fe 2.46-2.61, 7 Ru 2.58-2.74, 2 Li 2.58

=====

Most stable structure, least stable structure: two, one.

=====

one | The following is a meta-GGA SCAN calculation of a crystal of LiScFe relaxed with PBEsol, from the Alexandria database.

**Space group**: F-43m, No. 216
**Theoretical density**: 3.626 Mg/m³

Cell lengths 4.1170, 4.1170, 4.1170 Å; angles 60.00, 60.00, 60.00 degrees
With the nearest neighbours (Å) after each atom.
Fractional positions:
Sc: 0.0000 0.0000 0.0000  4 Li 2.52
Fe: 0.5000 0.5000 0.5000  4 Li 2.52
Li: 0.7500 0.7500 0.7500  4 Fe 2.52, 4 Sc 2.52

=====

two | The following is a meta-GGA SCAN calculation of a crystal of LiScFe relaxed with PBEsol, from the Alexandria database.

**Space group**: I4mm, No. 107
**Theoretical density**: 3.811 Mg/m³

Cell lengths 3.1578, 3.1578, 5.2104 Å; angles 107.64, 107.64, 90.00 degrees
With the nearest neighbours (Å) after each atom.
Fractional positions:
Li: 0.6445 0.6445 0.2891  4 Fe 2.59, 1 Sc 2.77
Fe: 0.0047 0.0047 0.0093  4 Li 2.59, 4 Sc 2.66
Sc: 0.3508 0.3508 0.7016  4 Fe 2.66, 5 Li 2.77-2.96

=====

Most stable structure, least stable structure: two, one.

=====

one | The following is a meta-GGA SCAN calculation of a crystal of LiFeW relaxed with PBEsol, from the Alexandria database.

**Space group**: Fmm2, No. 42
**Theoretical density**: 9.822 Mg/m³

Cell lengths 2.5997, 2.5997, 6.7332 Å; angles 97.30, 97.30, 110.01 degrees
With the nearest neighbours (Å) after each atom.
Fractional positions:
W: 0.6557 0.6557 0.3114  2 Fe 2.49, 4 W 2.60
Li: 0.3403 0.3403 0.6806  4 Li 2.60, 2 Fe 2.62, 2 W 2.85
Fe: 0.0040 0.0040 0.0080  2 W 2.49, 4 Fe 2.60, 2 Li 2.62

=====

two | The following is a meta-GGA SCAN calculation of a crystal of LiFeW relaxed with PBEsol, from the Alexandria database.

**Space group**: F-43m, No. 216
**Theoretical density**: 11.025 Mg/m³

Cell lengths 3.7452, 3.7452, 3.7452 Å; angles 60.00, 60.00, 60.00 degrees
With the nearest neighbours (Å) after each atom.
Fractional positions:
Fe: 0.5000 0.5000 0.5000  4 Li 2.29
Li: 0.2500 0.2500 0.2500  4 W 2.29, 4 Fe 2.29
W: 0.0000 0.0000 0.0000  4 Li 2.29

=====

Most stable structure, least stable structure: one, two.

=====

one | The following is a meta-GGA SCAN calculation of a crystal of LiFe3W relaxed with PBEsol, from the Alexandria database.

**Space group**: Pm-3m, No. 221
**Theoretical density**: 11.118 Mg/m³

Cell lengths 3.7685, 3.7685, 3.7685 Å; angles 90.00, 90.00, 90.00 degrees
With the nearest neighbours (Å) after each atom.
Fractional positions:
Fe: 0.0000 0.0000 0.5000  2 Li 1.88
Fe: 0.5000 0.0000 0.0000  2 Li 1.88
Fe: 0.0000 0.5000 0.0000  2 Li 1.88
W: 0.5000 0.5000 0.5000  12 Fe 2.66
Li: 0.0000 0.0000 0.0000  6 Fe 1.88

=====

two | The following is a meta-GGA SCAN calculation of a crystal of LiFe3W relaxed with PBEsol, from the Alexandria database.

**Space group**: Pm-3m, No. 221
**Theoretical density**: 6.675 Mg/m³

Cell lengths 4.4671, 4.4671, 4.4671 Å; angles 90.00, 90.00, 90.00 degrees
With the nearest neighbours (Å) after each atom.
Fractional positions:
W: 0.0000 0.0000 0.0000  6 Fe 2.23
Li: 0.5000 0.5000 0.5000  12 Fe 3.16
Fe: 0.0000 0.5000 0.0000  2 W 2.23
Fe: 0.5000 0.0000 0.0000  2 W 2.23
Fe: 0.0000 0.0000 0.5000  2 W 2.23

=====

Most stable structure, least stable structure: one, two.